VASP calculation (PBE-GGA) on crystalline NbFePS2 at its relaxed geometry.

abc: 4.361 4.361 4.379
angles: 90.00 90.00 90.00
Element x y z (fractional)
Nb: 0.500 0.500 0.500
Fe: 0.000 0.000 0.000
S: 0.500 0.000 0.000
S: 0.000 0.500 0.000
P: 0.000 0.000 0.500

Results
density	4.86	g/cm3
DFT total energy	-6.011	eV/atom
formation energy without anion corrections	429	meV/atom
SG	No. 123
distance to the lowest polymorph of the same formula	0.000	eV per atom